DFT (PBE+U) results for Al3WF after structural relaxation.

```
data_Al3WF
_chemical_formula_sum 'Al3 W1 F1'
_cell_length_a 4.2353
_cell_length_b 4.2353
_cell_length_c 4.2353
_cell_angle_alpha 90.00
_cell_angle_beta 90.00
_cell_angle_gamma 90.00
_symmetry_space_group_name_H-M 'P m -3 m'
_symmetry_Int_Tables_number 221
_symmetry_space_group_name_Hall '-P 4 2 3'
loop_
_atom_site_label
_atom_site_type_symbol
_atom_site_fract_x
_atom_site_fract_y
_atom_site_fract_z
_atom_site_occupancy
Al1 Al 0.0000 0.0000 0.5000 1
W1 W 0.5000 0.5000 0.5000 1
F1 F 0.0000 0.0000 0.0000 1
```

Summary:
Its density of states at the Fermi level is 0.98 states/eV/cell. The value obtained for the magnetization is 2.06 Bohr magnetons per cell. The total energy is -4.1297 eV/atom.